# 1
Density functional theory data (PBE+U) for a geometry-optimized LaV3O structure.

The raw total energy is -6.129 eV per atom. As for the crystal system: cubic.

abc: 4.569 4.569 4.569
angles: 90.00 90.00 90.00
Site moments in Bohr magnetons follow the coordinates.
Fractional coordinates of all 5 atoms:
O: 0.000 0.000 0.000  0.03
V: 0.000 0.500 0.000  2.63
V: 0.000 0.000 0.500  2.63
V: 0.500 0.000 0.000  2.63
La: 0.500 0.500 0.500  0.16

---

# 2
Density functional theory data (PBE+U) for a geometry-optimized LaVO3 structure.

The raw total energy is -8.291 eV per atom. As for the crystal system: triclinic.

abc: 5.718 7.916 5.585
angles: 89.33 90.05 90.01
Site moments in Bohr magnetons follow the coordinates.
Fractional coordinates of all 20 atoms:
La: 0.955 0.752 0.012  0.02
La: 0.455 0.748 0.488  0.02
La: 0.545 0.252 0.512  0.02
La: 0.045 0.248 0.988  0.02
O: 0.710 0.545 0.293  0.00
O: 0.210 0.954 0.207  0.00
O: 0.790 0.046 0.793  0.00
O: 0.522 0.748 0.914  -0.01
O: 0.707 0.956 0.293  0.00
O: 0.794 0.456 0.793  0.00
O: 0.206 0.544 0.207  0.00
O: 0.978 0.248 0.414  -0.01
O: 0.290 0.455 0.707  0.00
O: 0.293 0.044 0.707  0.00
O: 0.478 0.252 0.086  -0.01
O: 0.022 0.752 0.586  -0.01
V: 0.000 0.000 0.500  1.87
V: 0.500 0.000 0.000  1.86
V: 0.500 0.500 0.000  1.87
V: 0.000 0.500 0.500  1.86